Entry 1:
Compound: Cs2ScF5
Source: the Alexandria database
Functional: PBE-GGA
Structure: optimized geometry

Calculated values
The calculation puts the density of states at the Fermi level at 0.000 states/eV per atom. The value obtained for the total DFT energy (no corrections) is -5.52 eV per atom. The raw formation energy comes out at -3.349 eV/atom.

Cell lengths 6.4638, 6.4638, 6.4638 Å; angles 98.29, 115.34, 115.34 degrees
With the nearest neighbours (Å) after each atom.
Fractional coordinates of all 8 atoms:
Cs (0.5000, 0.7662, 0.2662)  4 F 3.06
F (0.6021, 0.7766, 0.7766)  1 Sc 2.00
F (0.0000, 0.2567, 0.2567)  1 Sc 1.91
Cs (0.5000, 0.2662, 0.7662)  4 F 3.06
F (0.0000, 0.7766, 0.1745)  1 Sc 2.00
F (0.0000, 0.1745, 0.7766)  1 Sc 2.00
Sc (0.0000, 0.0309, 0.0309)  5 F 1.91-2.00
F (0.3979, 0.1745, 0.1745)  1 Sc 2.00


Entry 2:
Compound: CsScF2
Source: the Alexandria database
Functional: PBE-GGA
Structure: optimized geometry

Calculated values
The calculation puts the density of states at the Fermi level at 0.600 states/eV per atom. The value obtained for the total DFT energy (no corrections) is -4.28 eV per atom. The relative energy among the computed polymorphs is 926 meV/atom. The raw formation energy comes out at -1.547 eV/atom.

Cell lengths 4.8257, 4.8257, 4.8257 Å; angles 60.00, 60.00, 60.00 degrees
With the nearest neighbours (Å) after each atom.
Fractional coordinates of all 4 atoms:
Sc (0.0000, 0.0000, 0.0000)  8 F 2.96
F (0.2500, 0.2500, 0.2500)  4 Sc 2.96, 4 Cs 2.96
F (0.7500, 0.7500, 0.7500)  4 Sc 2.96, 4 Cs 2.96
Cs (0.5000, 0.5000, 0.5000)  8 F 2.96


Entry 3:
Compound: CsScF2
Source: the Alexandria database
Functional: PBE-GGA
Structure: optimized geometry

Calculated values
The calculation puts the density of states at the Fermi level at 0.318 states/eV per atom. The value obtained for the total DFT energy (no corrections) is -5.01 eV per atom. The relative energy among the computed polymorphs is 196 meV/atom. The raw formation energy comes out at -2.278 eV/atom.

Cell lengths 7.6002, 7.6002, 7.6002 Å; angles 29.05, 29.05, 29.05 degrees
With the nearest neighbours (Å) after each atom.
Fractional coordinates of all 4 atoms:
F (0.8587, 0.8587, 0.8587)  3 Sc 2.27, 3 F 2.46
Cs (0.0000, 0.0000, 0.0000)  2 F 3.08
Sc (0.5000, 0.5000, 0.5000)  6 F 2.27
F (0.1413, 0.1413, 0.1413)  3 Sc 2.27, 3 F 2.46


Entry 4:
Compound: CsSc2F
Source: the Alexandria database
Functional: PBE-GGA
Structure: optimized geometry

Calculated values
The calculation puts the density of states at the Fermi level at 1.482 states/eV per atom. The value obtained for the total DFT energy (no corrections) is -3.43 eV per atom. The relative energy among the computed polymorphs is 1056 meV/atom. The raw formation energy comes out at 0.414 eV/atom.

Cell lengths 5.1175, 5.1175, 5.1175 Å; angles 60.00, 60.00, 60.00 degrees
With the nearest neighbours (Å) after each atom.
Fractional coordinates of all 4 atoms:
Cs (0.5000, 0.5000, 0.5000)  8 Sc 3.13
Sc (0.7500, 0.7500, 0.7500)  4 F 3.13, 4 Cs 3.13
Sc (0.2500, 0.2500, 0.2500)  4 F 3.13, 4 Cs 3.13
F (0.0000, 0.0000, 0.0000)  8 Sc 3.13


Entry 5:
Compound: CsScF2
Source: the Alexandria database
Functional: PBE-GGA
Structure: optimized geometry

Calculated values
The calculation puts the density of states at the Fermi level at 0.019 states/eV per atom. The value obtained for the total DFT energy (no corrections) is -5.20 eV per atom. The relative energy among the computed polymorphs is 0 meV/atom. The raw formation energy comes out at -2.473 eV/atom.

Cell lengths 7.9211, 7.9211, 7.9211 Å; angles 29.34, 29.34, 29.34 degrees
With the nearest neighbours (Å) after each atom.
Fractional coordinates of all 4 atoms:
Sc (0.0000, 0.0000, 0.0000)  2 F 1.99
F (0.9126, 0.9126, 0.9126)  1 Sc 1.99
F (0.0874, 0.0874, 0.0874)  1 Sc 1.99
Cs (0.5000, 0.5000, 0.5000)  6 F 2.94


Entry 6:
Compound: CsSc3F
Source: the Alexandria database
Functional: PBE-GGA
Structure: optimized geometry

Calculated values
The calculation puts the density of states at the Fermi level at 1.358 states/eV per atom. The value obtained for the total DFT energy (no corrections) is -4.42 eV per atom. The relative energy among the computed polymorphs is 0 meV/atom. The raw formation energy comes out at -0.080 eV/atom.

Cell lengths 4.9893, 4.9893, 4.9893 Å; angles 90.00, 90.00, 90.00 degrees
With the nearest neighbours (Å) after each atom.
Fractional coordinates of all 5 atoms:
Sc (0.0000, 0.5000, 0.0000)  2 F 2.49
F (0.0000, 0.0000, 0.0000)  6 Sc 2.49
Cs (0.5000, 0.5000, 0.5000)  12 Sc 3.53
Sc (0.5000, 0.0000, 0.0000)  2 F 2.49
Sc (0.0000, 0.0000, 0.5000)  2 F 2.49


Entry 7:
Compound: Cs2ScF6
Source: the Alexandria database
Functional: PBE-GGA
Structure: optimized geometry

Calculated values
The calculation puts the density of states at the Fermi level at 1.318 states/eV per atom. The value obtained for the total DFT energy (no corrections) is -5.14 eV per atom. The raw formation energy comes out at -3.004 eV/atom.

Cell lengths 6.5929, 6.5929, 10.2222 Å; angles 90.00, 90.00, 120.00 degrees
With the nearest neighbours (Å) after each atom.
Fractional coordinates of all 18 atoms:
F (0.5264, 0.0528, 0.6424)  1 Sc 2.06
F (0.3587, 0.1794, 0.8637)  1 Sc 2.01
F (0.9472, 0.4736, 0.6424)  1 Sc 2.06
Cs (0.0000, 0.0000, 0.5955)  12 F 3.13-3.42
F (0.8206, 0.6413, 0.8637)  1 Sc 2.01
F (0.8206, 0.1794, 0.8637)  1 Sc 2.01
F (0.0528, 0.5264, 0.1424)  1 Sc 2.06
F (0.4736, 0.5264, 0.1424)  1 Sc 2.06
Sc (0.6667, 0.3333, 0.7687)  6 F 2.01-2.06
Cs (0.3333, 0.6667, 0.8674)  12 F 3.19-3.30
Sc (0.3333, 0.6667, 0.2687)  6 F 2.01-2.06
F (0.6413, 0.8206, 0.3637)  1 Sc 2.01
Cs (0.0000, 0.0000, 0.0955)  12 F 3.13-3.42
F (0.4736, 0.9472, 0.1424)  1 Sc 2.06
F (0.1794, 0.3587, 0.3637)  1 Sc 2.01
F (0.5264, 0.4736, 0.6424)  1 Sc 2.06
Cs (0.6667, 0.3333, 0.3674)  12 F 3.19-3.30
F (0.1794, 0.8206, 0.3637)  1 Sc 2.01


Entry 8:
Compound: CsSc2F
Source: the Alexandria database
Functional: PBE-GGA
Structure: optimized geometry

Calculated values
The calculation puts the density of states at the Fermi level at 0.480 states/eV per atom. The value obtained for the total DFT energy (no corrections) is -4.49 eV per atom. The relative energy among the computed polymorphs is 0 meV/atom. The raw formation energy comes out at -0.642 eV/atom.

Cell lengths 9.7037, 9.7037, 9.7037 Å; angles 21.28, 21.28, 21.28 degrees
With the nearest neighbours (Å) after each atom.
Fractional coordinates of all 4 atoms:
Sc (0.8747, 0.8747, 0.8747)  3 F 2.38
Sc (0.1253, 0.1253, 0.1253)  3 F 2.38
F (0.5000, 0.5000, 0.5000)  6 Sc 2.38
Cs (0.0000, 0.0000, 0.0000)  2 Sc 3.56, 6 Cs 3.58